(1)
A geometry-optimized MoOs structure, computed with PBE-GGA.

Cell: 5.321 5.321 6.583 Å, 75.96 75.96 30.13°
Element x y z (fractional)
1 Mo 0.991 0.991 0.000
2 Mo 0.671 0.671 0.665
3 Mo 0.614 0.614 0.280
4 Os 0.280 0.280 0.942
5 Os 0.337 0.337 0.334
6 Os 0.940 0.940 0.612

Values from the calculation:
formation energy: 54 meV/atom
DFT total energy: -65.858 eV per cell

=====

(2)
A geometry-optimized Dy2Al3InPt4 structure, computed with PBE-GGA.

Cell: 4.121 4.121 11.311 Å, 90.00 90.00 90.00°
Element x y z (fractional)
1 Pt 0.500 0.500 0.000
2 Pt 0.500 0.000 0.657
3 Pt 0.000 0.000 0.000
4 Pt 0.000 0.500 0.343
5 Dy 0.500 0.000 0.246
6 Dy 0.000 0.500 0.754
7 Al 0.000 0.000 0.500
8 Al 0.500 0.000 0.873
9 Al 0.000 0.500 0.127
10 In 0.500 0.500 0.500

Values from the calculation:
formation energy: -1014 meV/atom
DFT total energy: -57.477 eV per cell

=====

(3)
A geometry-optimized Rb2NaBi3Pb4 structure, computed with PBE-GGA.

Cell: 5.298 5.298 14.022 Å, 90.00 90.00 90.00°
Element x y z (fractional)
1 Na 0.500 0.500 0.500
2 Bi 0.000 0.500 0.141
3 Bi 0.000 0.000 0.500
4 Bi 0.500 0.000 0.859
5 Rb 0.500 0.000 0.252
6 Rb 0.000 0.500 0.748
7 Pb 0.500 0.000 0.633
8 Pb 0.500 0.500 0.000
9 Pb 0.000 0.000 0.000
10 Pb 0.000 0.500 0.367

Values from the calculation:
formation energy: -169 meV/atom
DFT total energy: -31.420 eV per cell

=====

(4)
A geometry-optimized Rb2HfMgIr structure, computed with PBE-GGA.

Cell: 6.632 5.713 6.632 Å, 90.00 90.00 90.00°
Element x y z (fractional)
1 Ir 0.500 0.500 0.500
2 Rb 0.000 0.000 0.500
3 Rb 0.500 0.000 0.000
4 Hf 0.000 0.000 0.000
5 Mg 0.000 0.500 0.000

Values from the calculation:
formation energy: 2163 meV/atom
DFT total energy: -11.530 eV per cell

=====

(5)
A geometry-optimized Dy2TlF structure, computed with PBE-GGA.

Cell: 3.360 3.360 7.975 Å, 90.00 90.00 90.00°
Element x y z (fractional)
1 Tl 0.500 0.500 0.500
2 Dy 0.000 0.000 0.228
3 Dy 0.000 0.000 0.772
4 F 0.500 0.500 0.000

Values from the calculation:
energy above the lowest structure with this stoichiometry: 343.1 meV per atom
DFT total energy: -17.202 eV per cell
formation energy (no corrections): -91 kJ/mol of atoms

=====

(6)
A geometry-optimized GdLuGaGe structure, computed with PBE-GGA.

Cell: 5.033 5.033 5.033 Å, 60.00 60.00 60.00°
Element x y z (fractional)
1 Gd 0.500 0.500 0.500
2 Lu 0.000 0.000 0.000
3 Ge 0.250 0.250 0.250
4 Ga 0.750 0.750 0.750

Values from the calculation:
formation energy: -571 meV/atom
DFT total energy: -28.530 eV per cell

=====

(7)
A geometry-optimized CrCoGe2 structure, computed with PBE-GGA.

Cell: 2.952 4.172 4.172 Å, 90.00 90.00 90.00°
Element x y z (fractional)
1 Co 0.500 0.000 0.000
2 Cr 0.500 0.500 0.500
3 Ge 0.000 0.000 0.500
4 Ge 0.000 0.500 0.000

Values from the calculation:
formation energy: 26 meV/atom
DFT total energy: -25.862 eV per cell

=====

(8)
A geometry-optimized ZnGaAu2 structure, computed with PBE-GGA.

Cell: 7.544 6.232 7.304 Å, 120.93 90.00 90.00°
Element x y z (fractional)
1 Au 0.349 0.271 0.207
2 Au 0.651 0.729 0.793
3 Au 0.849 0.229 0.293
4 Au 0.849 0.264 0.705
5 Au 0.151 0.771 0.707
6 Au 0.651 0.764 0.205
7 Au 0.349 0.236 0.795
8 Au 0.151 0.736 0.295
9 Zn 0.460 0.753 0.502
10 Zn 0.040 0.253 0.002
11 Zn 0.540 0.247 0.498
12 Zn 0.960 0.747 0.998
13 Ga 0.155 0.255 0.502
14 Ga 0.845 0.745 0.498
15 Ga 0.345 0.755 0.002
16 Ga 0.655 0.245 0.998

Values from the calculation:
formation energy: -154 meV/atom
DFT total energy: -45.885 eV per cell

=====

(9)
A geometry-optimized Tm7Tl2Hg2 structure, computed with PBE-GGA.

Cell: 6.809 7.549 6.809 Å, 90.00 108.72 90.00°
Element x y z (fractional)
1 Hg 0.288 0.000 0.712
2 Hg 0.712 0.000 0.288
3 Tm 0.500 0.748 0.500
4 Tm 0.000 0.721 0.500
5 Tm 0.500 0.252 0.500
6 Tm 0.000 0.279 0.500
7 Tm 0.500 0.721 0.000
8 Tm 0.500 0.279 0.000
9 Tm 0.000 0.000 0.000
10 Tl 0.814 0.500 0.814
11 Tl 0.186 0.500 0.186

Values from the calculation:
formation energy: -34 meV/atom
DFT total energy: -37.005 eV per cell

=====

(10)
A geometry-optimized DyMnCo structure, computed with PBE-GGA.

Cell: 5.315 5.133 5.133 Å, 60.86 58.82 58.82°
Element x y z (fractional)
1 Dy 0.131 0.619 0.619
2 Dy 0.869 0.381 0.381
3 Co 0.500 0.000 0.500
4 Co 0.500 0.500 0.000
5 Mn 0.000 0.000 0.000
6 Mn 0.500 0.000 0.000

Values from the calculation:
energy above the lowest structure with this stoichiometry: 0.0 meV per atom
formation energy: -88 meV/atom
DFT total energy: -42.286 eV per cell

=====

(11)
A geometry-optimized ThAs3 structure, computed with PBE-GGA.

Cell: 4.171 4.171 5.872 Å, 110.80 110.80 90.00°
Element x y z (fractional)
1 As 0.500 0.500 0.000
2 As 0.250 0.750 0.500
3 As 0.750 0.250 0.500
4 Th 0.000 0.000 0.000

Values from the calculation:
formation energy: -654 meV/atom
DFT total energy: -23.984 eV per cell

=====

(12)
A geometry-optimized Nd2Ge4Pd3Pt structure, computed with PBE-GGA.

Cell: 4.358 4.358 10.181 Å, 90.00 90.00 90.00°
Element x y z (fractional)
1 Nd 0.500 0.000 0.248
2 Nd 0.000 0.500 0.752
3 Ge 0.500 0.500 0.000
4 Ge 0.500 0.000 0.630
5 Ge 0.000 0.500 0.370
6 Ge 0.000 0.000 0.000
7 Pd 0.500 0.000 0.872
8 Pd 0.000 0.500 0.128
9 Pd 0.000 0.000 0.500
10 Pt 0.500 0.500 0.500

Values from the calculation:
formation energy: -840 meV/atom
DFT total energy: -58.029 eV per cell

=====

(13)
A geometry-optimized Mn3AuN structure, computed with PBE-GGA.

Cell: 4.966 4.966 4.966 Å, 90.00 90.00 90.00°
Element x y z (fractional)
1 N 0.500 0.500 0.500
2 Au 0.000 0.000 0.000
3 Mn 0.000 0.000 0.500
4 Mn 0.000 0.500 0.000
5 Mn 0.500 0.000 0.000

Values from the calculation:
DFT total energy: -29.976 eV per cell
formation energy (no corrections): 176 kJ/mol of atoms

=====

(14)
A geometry-optimized YZnCr structure, computed with PBE-GGA.

Cell: 4.749 4.749 4.749 Å, 60.00 60.00 60.00°
Element x y z (fractional)
1 Cr 0.500 0.500 0.500
2 Zn 0.000 0.000 0.000
3 Y 0.750 0.750 0.750

Values from the calculation:
formation energy: 802 meV/atom
DFT total energy: -14.956 eV per cell

=====

(15)
A geometry-optimized Zr2CuHg structure, computed with PBE-GGA.

Cell: 7.724 7.724 6.134 Å, 50.98 50.98 90.00°
Element x y z (fractional)
1 Zr 0.875 0.843 0.750
2 Zr 0.157 0.625 0.250
3 Zr 0.593 0.125 0.250
4 Zr 0.375 0.407 0.750
5 Hg 0.750 0.250 0.500
6 Hg 0.000 0.000 0.000
7 Cu 0.500 0.500 0.000
8 Cu 0.250 0.750 0.500

Values from the calculation:
formation energy: 207 meV/atom
DFT total energy: -41.334 eV per cell

=====

(16)
A geometry-optimized ScCrRh2 structure, computed with PBE-GGA.

Cell: 6.882 6.882 5.609 Å, 52.16 52.16 90.00°
Element x y z (fractional)
1 Rh 0.375 0.343 0.750
2 Rh 0.875 0.907 0.750
3 Rh 0.093 0.625 0.250
4 Rh 0.657 0.125 0.250
5 Cr 0.750 0.250 0.500
6 Cr 0.000 0.000 0.000
7 Sc 0.250 0.750 0.500
8 Sc 0.500 0.500 0.000

Values from the calculation:
formation energy: -55 meV/atom
DFT total energy: -61.754 eV per cell

=====

(17)
A geometry-optimized Pm3Er5 structure, computed with PBE-GGA.

Cell: 3.564 3.564 20.047 Å, 90.00 90.00 90.00°
Element x y z (fractional)
1 Er 0.000 0.000 0.621
2 Er 0.500 0.500 0.743
3 Er 0.500 0.500 0.500
4 Er 0.500 0.500 0.257
5 Er 0.000 0.000 0.379
6 Pm 0.000 0.000 0.131
7 Pm 0.500 0.500 0.000
8 Pm 0.000 0.000 0.869

Values from the calculation:
energy above the lowest structure with this stoichiometry: 6.7 meV per atom
formation energy: 25 meV/atom
DFT total energy: -36.865 eV per cell

=====

(18)
A geometry-optimized LiY2ScF structure, computed with PBE-GGA.

Cell: 6.089 3.372 6.089 Å, 90.00 90.00 90.00°
Element x y z (fractional)
1 F 0.000 0.500 0.000
2 Y 0.500 0.000 0.000
3 Y 0.000 0.000 0.500
4 Li 0.000 0.000 0.000
5 Sc 0.500 0.500 0.500

Values from the calculation:
DFT total energy: -25.144 eV per cell
formation energy (no corrections): -41 kJ/mol of atoms

=====

(19)
A geometry-optimized Mn2Au structure, computed with PBE-GGA.

Cell: 2.825 4.003 14.876 Å, 90.00 90.00 90.00°
Element x y z (fractional)
1 Mn 0.500 0.750 0.535
2 Mn 0.500 0.250 0.465
3 Mn 0.500 0.750 0.698
4 Mn 0.000 0.750 0.965
5 Mn 0.000 0.250 0.198
6 Mn 0.000 0.250 0.035
7 Mn 0.500 0.250 0.302
8 Mn 0.000 0.750 0.802
9 Au 0.500 0.750 0.126
10 Au 0.500 0.250 0.874
11 Au 0.000 0.250 0.626
12 Au 0.000 0.750 0.374

Values from the calculation:
formation energy: 550 meV/atom
DFT total energy: -79.864 eV per cell

=====

(20)
A geometry-optimized LiCaTl3Cd structure, computed with PBE-GGA.

Cell: 4.880 6.928 9.928 Å, 110.57 90.00 90.00°
Element x y z (fractional)
1 Tl 0.250 0.644 0.463
2 Tl 0.750 0.834 0.063
3 Tl 0.250 0.619 0.827
4 Tl 0.750 0.356 0.537
5 Tl 0.250 0.166 0.937
6 Tl 0.750 0.381 0.173
7 Li 0.750 0.401 0.859
8 Li 0.250 0.599 0.141
9 Ca 0.250 0.132 0.277
10 Ca 0.750 0.868 0.723
11 Cd 0.250 0.131 0.620
12 Cd 0.750 0.869 0.380

Values from the calculation:
formation energy: -193 meV/atom
DFT total energy: -26.172 eV per cell

=====

no.,calculated volume (Å³/cell)
1,90.6
2,192.0
3,393.6
4,251.3
5,90.0
6,90.2
7,51.4
8,294.6
9,331.5
10,97.8
11,88.3
12,193.4
13,122.5
14,75.7
15,166.5
16,132.1
17,254.6
18,125.0
19,168.2
20,314.2